(1)
A relaxed Hf4Ni2BiP crystal, computed with GGA-PBE.

Unit cell a=5.4190 b=3.6778 c=7.7884 alpha=90.00 beta=109.84 gamma=90.00
Fractional positions:
1 Hf 0.0000 0.0000 0.0000
2 Hf 0.0236 0.5000 0.5930
3 Hf 0.4294 0.0000 0.4253
4 Hf 0.5215 0.5000 0.1178
5 Ni 0.0805 0.5000 0.2487
6 Ni 0.3349 0.0000 0.8378
7 Bi 0.6082 0.5000 0.7461
8 P 0.8708 0.0000 0.3263

**DFT total energy**: -64.9 eV for the cell shown
**Space-group type**: Pm, No. 6



(2)
A relaxed YTa2 crystal, computed with GGA-PBE.

Unit cell a=8.5879 b=8.5879 c=8.5879 alpha=60.00 beta=60.00 gamma=60.00
Fractional positions:
1 Y 0.1250 0.1250 0.1250
2 Y 0.8750 0.8750 0.8750
3 Ta 0.0000 0.0000 0.0000
4 Ta 0.0000 0.0000 0.5000
5 Ta 0.0000 0.5000 0.0000
6 Ta 0.5000 0.0000 0.0000

**Excess energy over the best structure of this formula in the dataset**: 4.373 eV per atom
**DFT formation energy**: 4641 meV/atom
**Space-group type**: Fd-3m, No. 227



(3)
A relaxed Zr2TcAg crystal, computed with GGA-PBE.

Unit cell a=4.7161 b=4.7161 c=4.7161 alpha=60.00 beta=60.00 gamma=60.00
Fractional positions:
1 Zr 0.0000 0.0000 0.0000
2 Zr 0.2500 0.2500 0.2500
3 Tc 0.5000 0.5000 0.5000
4 Ag 0.7500 0.7500 0.7500

**DFT formation energy**: 152 meV/atom
**Space-group type**: F-43m, No. 216



(4)
A relaxed CuHgBW crystal, computed with GGA-PBE.

Unit cell a=4.3285 b=4.3285 c=4.3285 alpha=60.00 beta=60.00 gamma=60.00
Fractional positions:
1 Cu 0.0000 0.0000 0.0000
2 Hg 0.2500 0.2500 0.2500
3 B 0.7500 0.7500 0.7500
4 W 0.5000 0.5000 0.5000

**Excess energy over the best structure of this formula in the dataset**: 0.000 eV per atom
**Space-group type**: F-43m, No. 216



(5)
A relaxed RbReO3 crystal, computed with GGA-PBE.

Unit cell a=3.9563 b=3.9563 c=3.9563 alpha=90.00 beta=90.00 gamma=90.00
Fractional positions:
1 Rb 0.0000 0.0000 0.0000
2 Re 0.5000 0.5000 0.5000
3 O 0.0000 0.5000 0.5000
4 O 0.5000 0.0000 0.5000
5 O 0.5000 0.5000 0.0000

**DFT total energy**: -36.0 eV for the cell shown
**Space-group type**: Pm-3m, No. 221



(6)
A relaxed Pr2Sn2Pd3Pt crystal, computed with GGA-PBE.

Unit cell a=4.6450 b=4.6450 c=9.3299 alpha=90.00 beta=90.00 gamma=120.00
Fractional positions:
1 Pr 0.0000 0.0000 0.0000
2 Pr 0.3333 0.6667 0.5028
3 Sn 0.6667 0.3333 0.2531
4 Sn 0.6667 0.3333 0.7538
5 Pd 0.0000 0.0000 0.3336
6 Pd 0.0000 0.0000 0.6665
7 Pd 0.3333 0.6667 0.1707
8 Pt 0.3333 0.6667 0.8345

**DFT total energy**: -46.0 eV for the cell shown
**Space-group type**: P3m1, No. 156